Record 1
This record from Alexandria describes crystalline SnBS4 at its relaxed geometry. The functional is PBE-GGA.

Its crystal system is monoclinic. The volume is 24.29 Å³ per atom. As for the total energy: -4.45 eV per atom. As for the calculated density: 2.94 g/cm³. As for the size of the total moment: 0.00 μB/f.u.

The space group is P2_1/c (No. 14) and the conventional cell measures 6.083, 3.632 and 14.001 Å, with angles of 90.00, 109.54 and 90.00 degrees. Symmetry generates all atoms from Sn at (0.000, 0.000, 0.000), B at (0.500, 0.000, 0.500), S at (0.038, 0.012, 0.379) and S at (0.458, 0.730, 0.100).

=====

Record 2
This record from Alexandria describes crystalline CaCo at its relaxed geometry. The functional is PBE-GGA.

Its crystal system is tetragonal. The volume is 22.26 Å³ per atom. As for the calculated density: 3.69 g/cm³. Its formation enthalpy at 0 K is 255 meV per atom. As for the size of the total moment: 1.53 μB/f.u.

The space group is P4/nmm (No. 129, origin choice 2) and the conventional cell measures 3.288, 3.288 and 8.237 Å, with angles of 90.00, 90.00 and 90.00 degrees. Symmetry generates all atoms from Ca at (0.250, 0.250, 0.202) and Co at (0.250, 0.250, 0.541).

=====

Record 3
This record from Alexandria describes crystalline Pr5Sc at its relaxed geometry. The functional is PBE-GGA.

Its crystal system is orthorhombic. The volume is 34.00 Å³ per atom. As for the calculated density: 6.10 g/cm³. Its formation enthalpy at 0 K is 36 meV per atom. As for the size of the total moment: 0.00 μB/f.u.

The space group is Pmmn (No. 59, origin choice 2) and the conventional cell measures 5.144, 10.908 and 7.271 Å, with angles of 90.00, 90.00 and 90.00 degrees. Symmetry generates all atoms from Pr at (0.250, 0.084, 0.120), Pr at (0.250, 0.087, 0.631), Pr at (0.250, 0.750, 0.628) and Sc at (0.250, 0.750, 0.121).

=====

Record 4
This record from Alexandria describes crystalline TlTe2PbN at its relaxed geometry. The functional is PBE-GGA.

The value obtained for the energy above the most stable polymorph in this dataset is 0.065 eV/atom. Its crystal system is tetragonal. The volume is 30.89 Å³ per atom. As for the calculated density: 7.32 g/cm³. As for the size of the total moment: 1.98 μB/f.u.

The space group is P4/mmm (No. 123) and the conventional cell measures 5.957, 5.957 and 4.351 Å, with angles of 90.00, 90.00 and 90.00 degrees. Symmetry generates all atoms from Tl at (0.000, 0.000, 0.000), Te at (0.000, 0.500, 0.000), Pb at (0.500, 0.500, 0.500) and N at (0.000, 0.000, 0.500).

=====

Record 5
This record from Alexandria describes crystalline KP2Pt at its relaxed geometry. The functional is PBE-GGA.

The value obtained for the energy above the most stable polymorph in this dataset is 0.151 eV/atom. Its crystal system is orthorhombic. The volume is 19.88 Å³ per atom. As for the calculated density: 6.19 g/cm³. Its formation enthalpy at 0 K is -275 meV per atom. As for the size of the total moment: 0.00 μB/f.u.

The space group is Pmmm (No. 47) and the conventional cell measures 2.889, 4.055 and 6.787 Å, with angles of 90.00, 90.00 and 90.00 degrees. Symmetry generates all atoms from K at (0.000, 0.000, 0.000), P at (0.500, 0.500, 0.314) and Pt at (0.500, 0.000, 0.500).

=====

Record 6
This record from Alexandria describes crystalline Li4PS4 at its relaxed geometry. The functional is PBE-GGA.

Its crystal system is tetragonal. The volume is 19.27 Å³ per atom. As for the total energy: -4.03 eV per atom. As for the calculated density: 1.79 g/cm³. As for the size of the total moment: 0.89 μB/f.u.

The space group is I4/m (No. 87) and the conventional cell measures 8.816, 8.816 and 4.462 Å, with angles of 90.00, 90.00 and 90.00 degrees. Symmetry generates all atoms from Li at (0.158, 0.309, 0.000), P at (0.000, 0.000, 0.500) and S at (0.064, 0.243, 0.500).